A.
# FeHgCl2 | Alexandria via LeMat-Bulk | PBEsol | optimized geometry
# - DOS at the Fermi energy (states/eV/cell) = 5.99
data_FeHgCl2
_chemical_formula_sum 'Fe2 Hg2 Cl4'
_symmetry_space_group_name_H-M 'C m m 2'
_symmetry_Int_Tables_number 35
_symmetry_space_group_name_Hall 'C 2 -2'
_cell_length_a 3.453
_cell_length_b 5.772
_cell_length_c 8.594
_cell_angle_alpha 90.00
_cell_angle_beta 90.00
_cell_angle_gamma 90.00
loop_
_atom_site_label
_atom_site_fract_x
_atom_site_fract_y
_atom_site_fract_z
Fe1 0.000 0.000 0.000
Hg1 0.000 0.500 0.765
Cl1 0.000 0.000 0.546
Cl2 0.000 0.500 0.174

=====

B.
# FeHgCl2 | Alexandria via LeMat-Bulk | PBEsol | optimized geometry
# - DOS at the Fermi energy (states/eV/cell) = 7.10
data_FeHgCl2
_chemical_formula_sum 'Fe3 Hg3 Cl6'
_symmetry_space_group_name_H-M 'R -3 m'
_symmetry_Int_Tables_number 166
_symmetry_space_group_name_Hall '-R 3 2"'
_cell_length_a 3.3629
_cell_length_b 3.3629
_cell_length_c 27.4390
_cell_angle_alpha 90.00
_cell_angle_beta 90.00
_cell_angle_gamma 120.00
loop_
_atom_site_label
_atom_site_fract_x
_atom_site_fract_y
_atom_site_fract_z
Fe1 0.0000 0.0000 0.0000
Hg1 0.0000 0.0000 0.5000
Cl1 0.0000 0.0000 0.2811

=====

Stability check: which of them is least stable? A.

=====

A.
# KFeCl2 | Alexandria via LeMat-Bulk | PBEsol | optimized geometry
# - DOS at the Fermi energy (states/eV/cell) = 3.60
data_KFeCl2
_chemical_formula_sum 'K1 Fe1 Cl2'
_symmetry_space_group_name_H-M 'P 1 2/m 1'
_symmetry_Int_Tables_number 10
_symmetry_space_group_name_Hall '-P 2y'
_cell_length_a 3.733
_cell_length_b 3.570
_cell_length_c 6.739
_cell_angle_alpha 90.00
_cell_angle_beta 90.06
_cell_angle_gamma 90.00
loop_
_atom_site_label
_atom_site_fract_x
_atom_site_fract_y
_atom_site_fract_z
K1 0.000 0.000 0.000
Fe1 0.500 0.000 0.500
Cl1 0.499 0.500 0.734

=====

B.
# KFeCl2 | Alexandria via LeMat-Bulk | PBEsol | optimized geometry
# - DOS at the Fermi energy (states/eV/cell) = 9.23
data_KFeCl2
_chemical_formula_sum 'K2 Fe2 Cl4'
_symmetry_space_group_name_H-M 'C 1 2/m 1'
_symmetry_Int_Tables_number 12
_symmetry_space_group_name_Hall '-C 2y'
_cell_length_a 6.785
_cell_length_b 3.749
_cell_length_c 6.835
_cell_angle_alpha 90.00
_cell_angle_beta 108.00
_cell_angle_gamma 90.00
loop_
_atom_site_label
_atom_site_fract_x
_atom_site_fract_y
_atom_site_fract_z
K1 0.000 0.000 0.000
Fe1 0.000 0.500 0.500
Cl1 0.229 0.000 0.688

=====

Stability check: which of them is least stable? B.